Entry 1:
Below is Ca3MgP after structural relaxation, with properties calculated at the PBEsol level.

Lattice parameters (Å, degrees): 5.488 5.488 5.488 90.00 90.00 90.00
Positions (direct):
Mg1 0.500 0.500 0.500
Ca1 0.500 0.000 0.000
Ca2 0.000 0.500 0.000
Ca3 0.000 0.000 0.500
P1 0.000 0.000 0.000

Values from the calculation:
Its space group is Pm-3m. The calculated volume is 33.05 Å³/atom. The formation energy comes out at -499.8 meV per atom. For the total DFT energy (no corrections), the calculation gives -0.2412 Ry per atom.

***

Entry 2:
Below is WBr3Cl after structural relaxation, with properties calculated at the PBEsol level.

Lattice parameters (Å, degrees): 4.935 4.935 4.935 90.00 90.00 90.00
Positions (direct):
W1 0.000 0.000 0.000
Br1 0.000 0.000 0.500
Br2 0.000 0.500 0.000
Br3 0.500 0.000 0.000
Cl1 0.500 0.500 0.500

Values from the calculation:
Its space group is Pm-3m. The calculated volume is 24.04 Å³/atom. For the total DFT energy (no corrections), the calculation gives -0.3058 Ry per atom.

***

Entry 3:
Below is BePb2Br after structural relaxation, with properties calculated at the PBEsol level.

Lattice parameters (Å, degrees): 3.290 5.831 5.831 87.96 72.83 72.83
Positions (direct):
Br1 0.000 0.500 0.500
Be1 0.000 0.000 0.000
Pb1 0.000 0.000 0.500
Pb2 0.000 0.500 0.000

Values from the calculation:
Its space group is C2/m. The calculated volume is 25.49 Å³/atom. The energy above the most stable polymorph in this dataset is 0.441 eV per formula unit. For the total DFT energy (no corrections), the calculation gives -0.2325 Ry per atom.

***

Entry 4:
Below is Tm2CdS4 after structural relaxation, with properties calculated at the PBEsol level.

Lattice parameters (Å, degrees): 7.790 7.790 7.790 60.00 60.00 60.00
Positions (direct):
S1 0.867 0.398 0.867
S2 0.867 0.867 0.398
S3 0.383 0.383 0.383
S4 0.852 0.383 0.383
S5 0.867 0.867 0.867
S6 0.398 0.867 0.867
S7 0.383 0.852 0.383
S8 0.383 0.383 0.852
Tm1 0.125 0.625 0.625
Tm2 0.625 0.625 0.125
Tm3 0.625 0.125 0.625
Tm4 0.625 0.625 0.625
Cd1 0.000 0.000 0.000
Cd2 0.250 0.250 0.250

Values from the calculation:
Its space group is Fd-3m. The calculated volume is 23.88 Å³/atom. For the total DFT energy (no corrections), the calculation gives -0.4236 Ry per atom.

***

Entry 5:
Below is NaCu2Sb2 after structural relaxation, with properties calculated at the PBEsol level.

Lattice parameters (Å, degrees): 4.337 4.337 6.405 109.79 109.79 90.00
Positions (direct):
Sb1 0.626 0.626 0.253
Sb2 0.374 0.374 0.747
Na1 0.000 0.000 0.000
Cu1 0.750 0.250 0.500
Cu2 0.250 0.750 0.500

Values from the calculation:
Its space group is I4/mmm. The calculated volume is 21.15 Å³/atom. For the total DFT energy (no corrections), the calculation gives -0.2882 Ry per atom.

***

Entry 6:
Below is Y5As3 after structural relaxation, with properties calculated at the PBEsol level.

Lattice parameters (Å, degrees): 6.022 8.402 8.402 120.00 90.00 90.00
Positions (direct):
Y1 0.750 0.251 0.000
Y2 0.250 0.749 0.000
Y3 0.250 0.000 0.749
Y4 0.250 0.251 0.251
Y5 0.500 0.667 0.333
Y6 0.750 0.749 0.749
Y7 0.000 0.333 0.667
Y8 0.500 0.333 0.667
Y9 0.000 0.667 0.333
Y10 0.750 0.000 0.251
As1 0.750 0.613 0.000
As2 0.250 0.387 0.000
As3 0.250 0.613 0.613
As4 0.750 0.387 0.387
As5 0.250 0.000 0.387
As6 0.750 0.000 0.613

Values from the calculation:
Its space group is P6_3/mcm. The calculated volume is 23.01 Å³/atom. The formation energy comes out at -1187.3 meV per atom. For the total DFT energy (no corrections), the calculation gives -0.5414 Ry per atom.

***

no.,M_tot (Bohr magnetons per cell)
1,0.000
2,0.000
3,0.000
4,0.000
5,0.000
6,0.000